# Na3TiTl (PBE-GGA, optimized geometry)
data_Na3TiTl
_cell_length_a 5.862
_cell_length_b 5.862
_cell_length_c 5.862
_cell_angle_alpha 90.00
_cell_angle_beta 90.00
_cell_angle_gamma 90.00
_space_group_name_H-M_alt 'P 1'
_space_group_IT_number 1
_space_group_name_Hall 'P 1'
loop_
_atom_site_label
_atom_site_fract_x
_atom_site_fract_y
_atom_site_fract_z
Na1 0.000 0.500 0.000
Na2 0.000 0.000 0.500
Na3 0.500 0.000 0.000
Tl1 0.500 0.500 0.500
Ti1 0.000 0.000 0.000
# energy above the lowest structure with this stoichiometry	0.000	eV/atom
# calculated density	2.65	Mg/m³
# energy of formation from the pure elements	945	meV per atom